[1]
First-principles (GGA-PBE) data for crystalline TaRh2W at its relaxed geometry, as listed in the Alexandria database.

a b c (Å): 2.8171 2.8171 27.2380
angles (deg): 90.00 90.00 120.00
With the nearest neighbours (Å) after each atom.
Space group R-3m (No. 166, hexagonal axes)
One atom of each set of equivalent atoms:
Ta 0.0000 0.0000 0.0000  6 Ta 2.82, 6 Rh 2.84
Rh 0.0000 0.0000 0.2480  3 W 2.75, 6 Rh 2.82, 3 Ta 2.84
W 0.0000 0.0000 0.5000  6 Rh 2.75, 6 W 2.82

Calculated values
As for the density of states at the Fermi level: 0.94 states/eV per atom. As for the total energy: -9.984 eV/atom. For the calculated formation energy, the calculation gives -107 meV per atom. As for the distance to the lowest polymorph of the same formula: 219 meV/atom.


[2]
First-principles (GGA-PBE) data for crystalline TbThZn10 at its relaxed geometry, as listed in the Alexandria database.

a b c (Å): 4.2231 5.3835 9.2633
angles (deg): 90.00 90.00 90.00
With the nearest neighbours (Å) after each atom.
Space group Pmmm (No. 47)
One atom of each set of equivalent atoms:
Tb 0.0000 0.0000 0.0000  6 Zn 3.03-3.08
Th 0.0000 0.5000 0.5000  18 Zn 3.13-3.42
Zn 0.0000 0.0000 0.3273  6 Zn 2.61-2.65
Zn 0.0000 0.5000 0.1606  6 Zn 2.58-2.63
Zn 0.5000 0.0000 0.5000  8 Zn 2.65-2.68
Zn 0.5000 0.2518 0.2500  8 Zn 2.61-2.71
Zn 0.5000 0.5000 0.0000  8 Zn 2.58-2.67

Calculated values
As for the density of states at the Fermi level: 0.27 states/eV per atom. As for the total energy: -2.323 eV/atom. For the calculated formation energy, the calculation gives -257 meV per atom.